(1)
VASP calculation (PBE) on crystalline AlCu2Pb at its relaxed geometry.

The structure in extended XYZ format:
```
4
Lattice="1.590 0.918 8.278 -1.590 0.918 8.278 0.000 -1.837 8.278" Properties=species:S:1:pos:R:3 pbc="T T T"
Al 0.000 0.000 0.000
Cu 0.000 0.000 6.497
Cu 0.000 0.000 18.336
Pb 0.000 0.000 12.416
```

Crystal system   trigonal
Magnetic moment   0.0 Bohr magnetons per cell
Formation energy from the elements   187 meV/atom



(2)
VASP calculation (PBE) on crystalline AlCuPb2 at its relaxed geometry.

The structure in extended XYZ format:
```
4
Lattice="-2.133 2.133 5.170 2.133 -2.133 5.170 2.133 2.133 -5.170" Properties=species:S:1:pos:R:3 pbc="T T T"
Al 0.000 0.000 0.000
Cu 2.133 0.000 2.585
Pb 0.000 0.000 5.170
Pb 0.000 2.133 2.585
```

Crystal system   tetragonal
Magnetic moment   0.0 Bohr magnetons per cell
Formation energy from the elements   336 meV/atom



(3)
VASP calculation (PBE) on crystalline Al2CuPb at its relaxed geometry.

The structure in extended XYZ format:
```
4
Lattice="3.831 0.000 0.000 0.000 4.386 0.000 -1.134 0.000 4.891" Properties=species:S:1:pos:R:3 pbc="T T T"
Al 0.239 0.000 1.391
Al 2.458 0.000 3.500
Cu -0.567 2.193 2.446
Pb 1.915 2.193 0.000
```

Crystal system   monoclinic
Magnetic moment   0.0 Bohr magnetons per cell
Formation energy from the elements   208 meV/atom



(4)
VASP calculation (PBE) on crystalline AlCuPb at its relaxed geometry.

The structure in extended XYZ format:
```
6
Lattice="3.313 0.000 0.000 1.645 4.284 0.000 1.604 1.693 8.760" Properties=species:S:1:pos:R:3 pbc="T T T"
Al 0.000 0.000 0.000
Al 1.646 3.118 2.652
Cu 1.652 0.666 1.837
Cu 3.303 2.450 0.816
Pb 3.262 3.624 6.984
Pb 3.309 1.189 4.429
```

Crystal system   triclinic
Magnetic moment   0.0 Bohr magnetons per cell
Formation energy from the elements   51 meV/atom



(5)
VASP calculation (PBE) on crystalline AlCuPb at its relaxed geometry.

The structure in extended XYZ format:
```
3
Lattice="4.257 0.000 0.000 -2.128 3.686 0.000 0.000 0.000 4.041" Properties=species:S:1:pos:R:3 pbc="T T T"
Al 0.000 0.000 0.000
Cu 2.128 1.229 0.033
Pb 0.000 2.458 2.022
```

Crystal system   trigonal
Magnetic moment   0.0 Bohr magnetons per cell
Formation energy from the elements   184 meV/atom



(6)
VASP calculation (PBE) on crystalline AlCu2Pb at its relaxed geometry.

The structure in extended XYZ format:
```
4
Lattice="-2.091 2.091 3.975 2.091 -2.091 3.975 2.091 2.091 -3.975" Properties=species:S:1:pos:R:3 pbc="T T T"
Al 0.000 0.000 0.000
Cu 2.091 0.000 1.987
Cu 0.000 2.091 1.987
Pb 0.000 0.000 3.975
```

Crystal system   tetragonal
Magnetic moment   0.0 Bohr magnetons per cell
Formation energy from the elements   272 meV/atom



(7)
VASP calculation (PBE) on crystalline Al2CuPb at its relaxed geometry.

The structure in extended XYZ format:
```
4
Lattice="2.884 -4.206 0.000 2.884 4.206 0.000 0.000 0.000 3.245" Properties=species:S:1:pos:R:3 pbc="T T T"
Al 1.442 2.103 0.000
Al 1.442 -2.103 0.000
Cu 0.000 0.000 1.622
Pb 2.884 0.000 1.622
```

Crystal system   orthorhombic
Magnetic moment   0.0 Bohr magnetons per cell
Formation energy from the elements   339 meV/atom



(8)
VASP calculation (PBE) on crystalline AlCu2Pb at its relaxed geometry.

The structure in extended XYZ format:
```
4
Lattice="4.147 -1.624 0.000 4.147 1.624 0.000 -1.123 0.000 5.482" Properties=species:S:1:pos:R:3 pbc="T T T"
Al 0.000 0.000 0.000
Cu 1.275 0.000 4.642
Cu 3.697 0.000 3.697
Pb 6.039 0.000 2.049
```

Crystal system   monoclinic
Magnetic moment   0.0 Bohr magnetons per cell
Formation energy from the elements   157 meV/atom